Entry 1:
First-principles (GGA-PBE) data for a relaxed structure of KZnInP2, as listed in Alexandria via LeMat-Bulk.

a = 4.1838 Å, b = 7.1029 Å, c = 9.4023 Å
α = 98.19°, β = 90.00°, γ = 107.13°
Closest atoms and distances in Å follow each position.
Element x y z (fractional)
1 P 0.3730 0.7461 0.6860  1 Zn 2.47, 2 In 2.56
2 P 0.1363 0.2725 0.9389  3 Zn 2.46-2.55, 1 In 2.57
3 P 0.6270 0.2539 0.3140  1 Zn 2.47, 2 In 2.56
4 P 0.8637 0.7275 0.0611  3 Zn 2.46-2.55, 1 In 2.57
5 In 0.9569 0.9139 0.8061  3 P 2.56-2.57
6 In 0.0431 0.0861 0.1939  3 P 2.56-2.57
7 K 0.3319 0.6637 0.3340  5 P 3.27-3.46, 2 Zn 3.65
8 K 0.6681 0.3363 0.6660  5 P 3.27-3.46, 2 Zn 3.65
9 Zn 0.3227 0.6453 0.9278  4 P 2.46-2.55
10 Zn 0.6773 0.3547 0.0722  4 P 2.46-2.55

## Properties
Mass density, g/cm3: 3.5
Calculated formation energy, meV/atom: -313
Symmetry: C2/m

Entry 2:
First-principles (GGA-PBE) data for a relaxed structure of AlOs2C2, as listed in Alexandria via LeMat-Bulk.

a = 6.3976 Å, b = 6.3976 Å, c = 2.7738 Å
α = 90.00°, β = 90.00°, γ = 90.00°
Closest atoms and distances in Å follow each position.
Element x y z (fractional)
1 Os 0.8463 0.6537 0.0000  2 C 2.14
2 Os 0.3463 0.8463 0.0000  2 C 2.14
3 Os 0.6537 0.1537 0.0000  2 C 2.14
4 Os 0.1537 0.3463 0.0000  2 C 2.14
5 C 0.6658 0.8342 0.5000  2 Os 2.14
6 C 0.1658 0.6658 0.5000  2 Os 2.14
7 C 0.8342 0.3342 0.5000  2 Os 2.14
8 C 0.3342 0.1658 0.5000  2 Os 2.14
9 Al 0.5000 0.5000 0.0000  4 Os 2.42
10 Al 0.0000 0.0000 0.0000  4 Os 2.42

## Properties
Mass density, g/cm3: 12.6
Calculated formation energy, meV/atom: 1267
Symmetry: P4/mbm
Energy above the most stable polymorph in this dataset, eV/atom: 0.566

Entry 3:
First-principles (GGA-PBE) data for a relaxed structure of CaMoN3, as listed in Alexandria via LeMat-Bulk.

a = 5.3566 Å, b = 3.4555 Å, c = 7.4878 Å
α = 103.34°, β = 85.09°, γ = 90.01°
Closest atoms and distances in Å follow each position.
Element x y z (fractional)
1 Mo 0.8629 0.4359 0.9967  2 N 1.77-1.98
2 Mo 0.7967 0.6865 0.4982  2 N 1.79-1.88
3 N 0.1312 0.6698 0.4649  1 Mo 1.79
4 N 0.7074 0.5643 0.2538  2 Mo 1.88-1.98
5 N 0.6212 0.2247 0.5747  2 Mo 2.02
6 N 0.6773 0.9195 0.9640  1 N 1.43
7 N 0.1860 0.4537 0.0325  1 Mo 1.77
8 N 0.8587 0.8417 0.8085  1 N 1.43
9 Ca 0.3695 0.0755 0.2763  8 N 2.49-2.72
10 Ca 0.3160 0.8218 0.7682  7 N 2.44-2.69

## Properties
Mass density, g/cm3: 4.4
Symmetry: Cm
Uncorrected formation energy, eV per atom: -0.518

Entry 4:
First-principles (GGA-PBE) data for a relaxed structure of La8ScIn2, as listed in Alexandria via LeMat-Bulk.

a = 5.2985 Å, b = 9.0225 Å, c = 9.3959 Å
α = 118.68°, β = 106.38°, γ = 90.00°
Closest atoms and distances in Å follow each position.
Element x y z (fractional)
1 In 0.8033 0.3033 0.6065  10 La 3.37-3.63
2 In 0.1967 0.6967 0.3935  10 La 3.37-3.63
3 La 0.0000 0.6704 0.0000  1 La 3.07, 2 In 3.43
4 La 0.0000 0.3296 0.0000  1 La 3.07, 2 In 3.43
5 La 0.3434 0.1233 0.6869  3 In 3.37-3.41, 1 Sc 3.51, 5 La 3.63-3.69
6 La 0.6565 0.4365 0.3130  3 In 3.37-3.41, 1 Sc 3.51, 5 La 3.63-3.69
7 La 0.8555 0.8555 0.7109  2 Sc 3.48, 2 In 3.63, 8 La 3.66-3.73
8 La 0.3435 0.5635 0.6870  3 In 3.37-3.41, 1 Sc 3.51, 5 La 3.63-3.69
9 La 0.6566 0.8767 0.3131  3 In 3.37-3.41, 1 Sc 3.51, 5 La 3.63-3.69
10 La 0.1445 0.1445 0.2891  2 Sc 3.48, 2 In 3.63, 8 La 3.66-3.73
11 Sc 0.5000 0.0000 0.0000  8 La 3.48-3.51

## Properties
Mass density, g/cm3: 6.2
Calculated formation energy, meV/atom: -134
Symmetry: Immm

Entry 5:
First-principles (GGA-PBE) data for a relaxed structure of GeRuNF2, as listed in Alexandria via LeMat-Bulk.

a = 4.2126 Å, b = 4.2126 Å, c = 3.6058 Å
α = 90.00°, β = 90.00°, γ = 90.00°
Closest atoms and distances in Å follow each position.
Element x y z (fractional)
1 Ru 0.5000 0.5000 0.5000  8 F 2.77, 4 N 2.98
2 Ge 0.0000 0.0000 0.0000  2 N 1.80
3 F 0.5000 0.0000 0.0000  2 Ge 2.11
4 F 0.0000 0.5000 0.0000  2 Ge 2.11
5 N 0.0000 0.0000 0.5000  2 Ge 1.80

## Properties
Mass density, g/cm3: 5.9
Symmetry: P4/mmm
Uncorrected formation energy, eV per atom: 0.095
Energy above the most stable polymorph in this dataset, eV/atom: 0.390

Entry 6:
First-principles (GGA-PBE) data for a relaxed structure of ScAg2Cl, as listed in Alexandria via LeMat-Bulk.

a = 3.2571 Å, b = 3.2571 Å, c = 7.6314 Å
α = 90.00°, β = 90.00°, γ = 90.09°
Closest atoms and distances in Å follow each position.
Element x y z (fractional)
1 Cl 0.5000 0.5000 0.2500  8 Ag 3.00, 4 Cl 3.26
2 Ag 0.0000 0.0000 0.5014  4 Sc 2.98-2.99, 4 Cl 3.00, 4 Ag 3.26
3 Ag 0.0000 0.0000 0.9986  4 Sc 2.98-2.99, 4 Cl 3.00, 4 Ag 3.26
4 Sc 0.5000 0.5000 0.7500  8 Ag 2.98-2.99, 4 Sc 3.26

## Properties
Mass density, g/cm3: 6.1
Symmetry: P4/mmm
Uncorrected formation energy, eV per atom: -0.278
Energy above the most stable polymorph in this dataset, eV/atom: 0.282

Entry 7:
First-principles (GGA-PBE) data for a relaxed structure of Tb2Ni7Sn12, as listed in Alexandria via LeMat-Bulk.

a = 4.1777 Å, b = 10.8450 Å, c = 10.8450 Å
α = 120.00°, β = 90.00°, γ = 90.00°
Closest atoms and distances in Å follow each position.
Element x y z (fractional)
1 Ni 0.7643 0.5904 0.8877  7 Sn 2.56-2.83
2 Ni 0.7643 0.2973 0.4096  7 Sn 2.56-2.83
3 Ni 0.7643 0.1123 0.7027  7 Sn 2.56-2.83
4 Ni 0.2357 0.8877 0.2973  7 Sn 2.56-2.83
5 Ni 0.2357 0.4096 0.1123  7 Sn 2.56-2.83
6 Ni 0.2357 0.7027 0.5904  7 Sn 2.56-2.83
7 Ni 0.5000 0.0000 0.0000  6 Sn 2.66
8 Sn 0.2522 0.1447 0.8844  4 Ni 2.66-2.81
9 Sn 0.2529 0.4493 0.3759  4 Ni 2.56-2.83
10 Sn 0.7478 0.8553 0.1156  4 Ni 2.66-2.81
11 Sn 0.7471 0.0734 0.4493  4 Ni 2.56-2.83
12 Sn 0.2529 0.9266 0.5507  4 Ni 2.56-2.83
13 Sn 0.7471 0.5507 0.6241  4 Ni 2.56-2.83
14 Sn 0.7478 0.8844 0.7397  4 Ni 2.66-2.81
15 Sn 0.2522 0.7397 0.8553  4 Ni 2.66-2.81
16 Sn 0.7478 0.2603 0.1447  4 Ni 2.66-2.81
17 Sn 0.2529 0.6241 0.0734  4 Ni 2.56-2.83
18 Sn 0.2522 0.1156 0.2603  4 Ni 2.66-2.81
19 Sn 0.7471 0.3759 0.9266  4 Ni 2.56-2.83
20 Tb 0.2574 0.3333 0.6667  6 Sn 3.32-3.38, 6 Ni 3.33-3.36
21 Tb 0.7426 0.6667 0.3333  6 Sn 3.32-3.38, 6 Ni 3.33-3.36

## Properties
Mass density, g/cm3: 8.4
Calculated formation energy, meV/atom: -225
Symmetry: P-3

Entry 8:
First-principles (GGA-PBE) data for a relaxed structure of Cs8AuI4Cl3, as listed in Alexandria via LeMat-Bulk.

a = 10.5937 Å, b = 10.6184 Å, c = 10.5976 Å
α = 119.96°, β = 119.99°, γ = 90.00°
Closest atoms and distances in Å follow each position.
Element x y z (fractional)
1 Au 0.0000 0.5000 0.0000  6 Cs 3.70-3.71
2 Cs 0.7364 0.7293 0.9830  2 Cl 3.62, 1 Au 3.70, 3 I 3.81-3.88
3 Cs 0.2466 0.7293 0.9830  2 Cl 3.62, 1 Au 3.70, 3 I 3.81-3.88
4 Cs 0.7417 0.7257 0.4834  3 Cl 3.63, 3 I 3.87-3.88
5 Cs 0.7532 0.2716 0.5064  2 Cl 3.61, 1 Au 3.71, 3 I 3.80-3.89
6 Cs 0.2468 0.7284 0.4936  2 Cl 3.61, 1 Au 3.71, 3 I 3.80-3.89
7 Cs 0.2636 0.2707 0.0170  2 Cl 3.62, 1 Au 3.70, 3 I 3.81-3.88
8 Cs 0.2583 0.2743 0.5166  3 Cl 3.63, 3 I 3.87-3.88
9 Cs 0.7534 0.2707 0.0170  2 Cl 3.62, 1 Au 3.70, 3 I 3.81-3.88
10 Cl 0.5000 0.5000 0.0000  6 Cs 3.62-3.63
11 Cl 0.5000 0.5000 0.5000  6 Cs 3.61-3.63
12 Cl 0.0000 0.5000 0.5000  6 Cs 3.61-3.63
13 I 0.0000 0.0000 0.0000  6 Cs 3.88
14 I 0.5000 0.0000 0.0000  6 Cs 3.80-3.81
15 I 0.5000 0.0000 0.5000  6 Cs 3.87-3.89
16 I 0.0000 0.0000 0.5000  6 Cs 3.87-3.89

## Properties
Mass density, g/cm3: 3.7
Symmetry: C2/m
Uncorrected formation energy, eV per atom: -1.553

Entry 9:
First-principles (GGA-PBE) data for a relaxed structure of CaNpSb2, as listed in Alexandria via LeMat-Bulk.

a = 3.3057 Å, b = 5.7532 Å, c = 5.7532 Å
α = 90.00°, β = 90.00°, γ = 90.00°
Closest atoms and distances in Å follow each position.
Element x y z (fractional)
1 Sb 0.0000 0.0000 0.5000  2 Sb 3.31, 4 Ca 3.32, 4 Np 3.32
2 Sb 0.0000 0.5000 0.0000  2 Sb 3.31, 4 Ca 3.32, 4 Np 3.32
3 Np 0.5000 0.0000 0.0000  2 Np 3.31, 8 Sb 3.32
4 Ca 0.5000 0.5000 0.5000  2 Ca 3.31, 8 Sb 3.32

## Properties
Mass density, g/cm3: 7.9
Symmetry: P4/mmm
Uncorrected formation energy, eV per atom: -0.464
Energy above the most stable polymorph in this dataset, eV/atom: 0.067

Entry 10:
First-principles (GGA-PBE) data for a relaxed structure of KHg2Pb2Au, as listed in Alexandria via LeMat-Bulk.

a = 4.7450 Å, b = 4.7450 Å, c = 10.2315 Å
α = 103.41°, β = 103.41°, γ = 90.00°
Closest atoms and distances in Å follow each position.
Element x y z (fractional)
1 Au 0.0000 0.0000 0.0000  2 Hg 2.70
2 K 0.5000 0.5000 0.0000  4 Au 3.36
3 Pb 0.2500 0.7500 0.5000  4 Hg 3.19, 4 Pb 3.36
4 Pb 0.7500 0.2500 0.5000  4 Hg 3.19, 4 Pb 3.36
5 Hg 0.8603 0.8603 0.7206  1 Au 2.70
6 Hg 0.1397 0.1397 0.2794  1 Au 2.70

## Properties
Mass density, g/cm3: 8.0
Calculated formation energy, meV/atom: -31
Symmetry: I4/mmm

Entry 11:
First-principles (GGA-PBE) data for a relaxed structure of Y3NiPd, as listed in Alexandria via LeMat-Bulk.

a = 6.0085 Å, b = 6.0085 Å, c = 7.9548 Å
α = 70.55°, β = 70.55°, γ = 65.45°
Closest atoms and distances in Å follow each position.
Element x y z (fractional)
1 Ni 0.3127 0.6873 0.0000  1 Ni 2.43, 2 Y 2.72
2 Ni 0.6873 0.3127 0.0000  1 Ni 2.43, 2 Y 2.72
3 Y 0.0074 0.0074 0.7682  2 Ni 2.72, 2 Pd 2.85
4 Y 0.9926 0.9926 0.2318  2 Ni 2.72, 2 Pd 2.85
5 Y 0.6977 0.6977 0.6597  2 Ni 2.92, 2 Pd 3.09
6 Y 0.6841 0.6841 0.1493  2 Ni 2.85, 2 Pd 3.01
7 Y 0.3159 0.3159 0.8507  2 Ni 2.85, 2 Pd 3.01
8 Y 0.3023 0.3023 0.3403  2 Ni 2.92, 2 Pd 3.09
9 Pd 0.2853 0.7147 0.5000  1 Pd 2.79, 6 Y 2.85-3.09
10 Pd 0.7147 0.2853 0.5000  1 Pd 2.79, 6 Y 2.85-3.09

## Properties
Mass density, g/cm3: 6.0
Calculated formation energy, meV/atom: -482
Symmetry: C2/m
Energy above the most stable polymorph in this dataset, eV/atom: 0.000

Entry 12:
First-principles (GGA-PBE) data for a relaxed structure of Tl3BiTe4, as listed in Alexandria via LeMat-Bulk.

a = 7.8578 Å, b = 8.0987 Å, c = 9.2099 Å
α = 90.00°, β = 90.00°, γ = 108.44°
Closest atoms and distances in Å follow each position.
Element x y z (fractional)
1 Tl 0.7500 0.5000 0.6217  6 Te 3.29-3.39
2 Tl 0.7500 0.0000 0.3784  6 Te 3.19-3.25
3 Tl 0.2500 0.0000 0.6216  6 Te 3.19-3.25
4 Tl 0.7500 0.5000 0.1239  6 Te 3.32-3.33
5 Tl 0.2500 0.5000 0.3783  6 Te 3.29-3.39
6 Tl 0.2500 0.5000 0.8761  6 Te 3.32-3.33
7 Te 0.0061 0.7638 0.3700  5 Tl 3.19-3.36, 1 Bi 3.19
8 Te 0.5061 0.7638 0.6300  5 Tl 3.19-3.36, 1 Bi 3.19
9 Te 0.0049 0.7668 0.8780  2 Bi 3.16-3.17, 4 Tl 3.25-3.39
10 Te 0.9951 0.2332 0.1220  2 Bi 3.16-3.17, 4 Tl 3.25-3.39
11 Te 0.9939 0.2362 0.6300  5 Tl 3.19-3.36, 1 Bi 3.19
12 Te 0.4939 0.2362 0.3700  5 Tl 3.19-3.36, 1 Bi 3.19
13 Te 0.4951 0.2332 0.8780  2 Bi 3.16-3.17, 4 Tl 3.25-3.39
14 Te 0.5049 0.7668 0.1220  2 Bi 3.16-3.17, 4 Tl 3.25-3.39
15 Bi 0.7500 0.0000 0.8772  6 Te 3.16-3.19
16 Bi 0.2500 0.0000 0.1228  6 Te 3.16-3.19

## Properties
Mass density, g/cm3: 8.0
Symmetry: P2/c
Uncorrected formation energy, eV per atom: -0.219
Energy above the most stable polymorph in this dataset, eV/atom: 0.002